[1]
VASP calculation (PBE with a Hubbard U) on Na2Li3MoO6 after structural relaxation.

a = 5.6648 Å, b = 5.6648 Å, c = 5.1601 Å
α = 99.68°, β = 99.68°, γ = 121.56°
Closest atoms and distances in Å follow each position.
Positions (direct):
1 Na 0.3300 0.6700 0.0000  6 O 2.33-2.36
2 Na 0.6700 0.3300 0.0000  6 O 2.33-2.36
3 Li 0.1433 0.8567 0.5000  4 O 2.05-2.07
4 Li 0.8567 0.1433 0.5000  4 O 2.05-2.07
5 Li 0.5000 0.5000 0.5000  4 O 2.16
6 Mo 0.0000 0.0000 0.0000  6 O 1.95-1.96
7 O 0.9229 0.6467 0.7571  1 Mo 1.96, 2 Li 2.07-2.16
8 O 0.7846 0.7846 0.2307  1 Mo 1.95, 2 Li 2.05
9 O 0.0771 0.3533 0.2429  1 Mo 1.96, 2 Li 2.07-2.16
10 O 0.6467 0.9229 0.7571  1 Mo 1.96, 2 Li 2.07-2.16
11 O 0.2154 0.2154 0.7693  1 Mo 1.95, 2 Li 2.05
12 O 0.3533 0.0771 0.2429  1 Mo 1.96, 2 Li 2.07-2.16

Output
**SG**: No. 12

***

[2]
VASP calculation (PBE with a Hubbard U) on Na2Li2MoO4 after structural relaxation.

a = 3.2231 Å, b = 6.3624 Å, c = 7.7420 Å
α = 133.15°, β = 90.00°, γ = 104.67°
Closest atoms and distances in Å follow each position.
Positions (direct):
1 Na 0.8232 0.6464 0.4337  5 O 2.36-2.43
2 Na 0.1768 0.3536 0.5663  5 O 2.36-2.43
3 Li 0.3455 0.6911 0.0710  4 O 1.96-1.97
4 Li 0.6545 0.3089 0.9290  4 O 1.96-1.97
5 Mo 0.0000 0.0000 0.0000  6 O 2.05-2.15
6 O 0.7880 0.5760 0.8757  3 Li 1.96-1.97, 1 Mo 2.05
7 O 0.2120 0.4240 0.1243  3 Li 1.96-1.97, 1 Mo 2.05
8 O 0.5618 0.1236 0.2403  1 Li 1.97, 2 Mo 2.15
9 O 0.4382 0.8764 0.7597  1 Li 1.97, 2 Mo 2.15

Output
**SG**: No. 12

***

[3]
VASP calculation (PBE with a Hubbard U) on Na5LiMo9O30 after structural relaxation.

a = 21.0505 Å, b = 19.3324 Å, c = 9.8408 Å
α = 85.86°, β = 66.35°, γ = 27.79°
Closest atoms and distances in Å follow each position.
Positions (direct):
1 Na 0.5628 0.1324 0.3366  6 O 2.41-2.56
2 Na 0.3366 0.9682 0.5628  6 O 2.41-2.56
3 Na 0.2818 0.9134 0.1176  6 O 2.41-2.56
4 Na 0.1176 0.6872 0.2818  6 O 2.41-2.56
5 Na 0.6416 0.2642 0.2502  6 O 2.40-2.61
6 Na 0.2502 0.8441 0.6416  6 O 2.40-2.61
7 Na 0.4059 0.9998 0.9858  6 O 2.40-2.61
8 Na 0.9858 0.6084 0.4059  6 O 2.40-2.61
9 Na 0.1998 0.8002 0.1998  6 O 2.39-2.57
10 Na 0.4498 0.0502 0.4498  6 O 2.39-2.57
11 Li 0.7933 0.2067 0.7933  4 O 2.06-2.12
12 Li 0.0433 0.4567 0.0433  4 O 2.06-2.12
13 Mo 0.1015 0.8071 0.6097  3 O 1.76-1.83
14 Mo 0.6097 0.4817 0.1015  3 O 1.76-1.83
15 Mo 0.7683 0.6403 0.4429  3 O 1.76-1.83
16 Mo 0.4429 0.1485 0.7683  3 O 1.76-1.83
17 Mo 0.1107 0.5896 0.9776  3 O 1.74-1.88
18 Mo 0.9776 0.3221 0.1107  3 O 1.74-1.88
19 Mo 0.9279 0.2724 0.6604  3 O 1.74-1.88
20 Mo 0.6604 0.1393 0.9279  3 O 1.74-1.88
21 Mo 0.5624 0.2368 0.6512  3 O 1.74-1.91
22 Mo 0.6512 0.5496 0.5624  3 O 1.74-1.91
23 Mo 0.7004 0.5988 0.0132  3 O 1.74-1.91
24 Mo 0.0132 0.6876 0.7004  3 O 1.74-1.91
25 Mo 0.2026 0.7009 0.8646  3 O 1.76-1.84
26 Mo 0.8646 0.2319 0.2026  3 O 1.76-1.84
27 Mo 0.0181 0.3854 0.5491  3 O 1.76-1.84
28 Mo 0.5491 0.0474 0.0181  3 O 1.76-1.84
29 Mo 0.6280 0.3720 0.6280  2 O 1.75
30 Mo 0.8780 0.6220 0.8780  2 O 1.75
31 O 0.3338 0.6614 0.7423  1 Mo 1.84
32 O 0.7423 0.2625 0.3338  1 Mo 1.84
33 O 0.9875 0.5077 0.5886  1 Mo 1.84
34 O 0.5886 0.9162 0.9875  1 Mo 1.84
35 O 0.0190 0.6849 0.2071  1 Mo 1.74
36 O 0.2071 0.0890 0.0190  1 Mo 1.74
37 O 0.1610 0.0429 0.5651  1 Mo 1.74
38 O 0.5651 0.2310 0.1610  1 Mo 1.74
39 O 0.6463 0.1534 0.4241  1 Mo 1.74
40 O 0.4241 0.7761 0.6463  1 Mo 1.74
41 O 0.4739 0.8259 0.0966  1 Mo 1.74
42 O 0.0966 0.6037 0.4739  1 Mo 1.74
43 O 0.9726 0.8233 0.7333  1 Mo 1.91
44 O 0.7333 0.4708 0.9726  1 Mo 1.91
45 O 0.7792 0.5167 0.4267  1 Mo 1.91
46 O 0.4267 0.2774 0.7792  1 Mo 1.91
47 O 0.1856 0.7148 0.3839  1 Mo 1.76
48 O 0.3839 0.7158 0.1856  1 Mo 1.76
49 O 0.5342 0.8661 0.5352  1 Mo 1.76
50 O 0.5352 0.0644 0.5342  1 Mo 1.76
51 O 0.7944 0.0990 0.8071  2 Mo 1.88-2.09, 1 Li 2.06
52 O 0.8071 0.2995 0.7944  2 Mo 1.88-2.09, 1 Li 2.06
53 O 0.9505 0.4429 0.1510  2 Mo 1.88-2.09, 1 Li 2.06
54 O 0.1510 0.4556 0.9505  2 Mo 1.88-2.09, 1 Li 2.06
55 O 0.0959 0.9035 0.6195  1 Mo 1.77
56 O 0.6195 0.3811 0.0959  1 Mo 1.77
57 O 0.8689 0.6305 0.3465  1 Mo 1.77
58 O 0.3465 0.1541 0.8689  1 Mo 1.77
59 O 0.9748 0.9252 0.9401  1 Mo 1.78
60 O 0.9401 0.1599 0.9748  1 Mo 1.78
61 O 0.0901 0.3099 0.3248  1 Mo 1.78
62 O 0.3248 0.2752 0.0901  1 Mo 1.78
63 O 0.8998 0.7998 0.0223  1 Mo 1.79
64 O 0.0223 0.2781 0.8998  1 Mo 1.79
65 O 0.9719 0.2277 0.4502  1 Mo 1.79
66 O 0.4502 0.3502 0.9719  1 Mo 1.79
67 O 0.1325 0.7675 0.0874  1 Mo 1.76
68 O 0.0874 0.0126 0.1325  1 Mo 1.76
69 O 0.2374 0.1626 0.4825  1 Mo 1.76
70 O 0.4825 0.1175 0.2374  1 Mo 1.76
71 O 0.5278 0.3708 0.6766  2 Mo 1.98-1.99
72 O 0.6766 0.4248 0.5278  2 Mo 1.98-1.99
73 O 0.8252 0.5734 0.8792  2 Mo 1.98-1.99
74 O 0.8792 0.7222 0.8252  2 Mo 1.98-1.99
75 O 0.2466 0.5536 0.8458  3 Mo 2.00-2.19
76 O 0.8458 0.3540 0.2466  3 Mo 2.00-2.19
77 O 0.8960 0.4042 0.6964  3 Mo 2.00-2.19
78 O 0.6964 0.0034 0.8960  3 Mo 2.00-2.19
79 O 0.2293 0.4712 0.6436  1 Mo 1.77
80 O 0.6436 0.6559 0.2293  1 Mo 1.77
81 O 0.5941 0.6064 0.7788  1 Mo 1.77
82 O 0.7788 0.0207 0.5941  1 Mo 1.77
83 O 0.3073 0.5866 0.5721  1 Mo 1.83
84 O 0.5721 0.5340 0.3073  1 Mo 1.83
85 O 0.7160 0.6779 0.6634  1 Mo 1.83
86 O 0.6634 0.9427 0.7160  1 Mo 1.83
87 O 0.5143 0.4933 0.8655  1 Mo 1.75
88 O 0.8655 0.1269 0.5143  1 Mo 1.75
89 O 0.1231 0.3845 0.7567  1 Mo 1.75
90 O 0.7567 0.7357 0.1231  1 Mo 1.75

Output
**SG**: No. 43

***

Number 1: E -0.400 Ry per atom, size of the total moment 1.1 μB/cell. Number 2: E -0.401 Ry per atom, size of the total moment 2.0 μB/cell. Number 3: E -0.487 Ry per atom, size of the total moment 0.0 μB/cell.